# Ba2TaFeO6

A PBEsol-optimized structure of Ba2TaFeO6 (meta-GGA SCAN, Alexandria).

```
Ba2TaFeO6
1.0
-2.461 3.772 3.536
-1.737 -1.660 5.198
2.795 1.799 4.663
Ba Ta Fe O
2 1 1 6
direct
0.250 0.250 0.250
0.750 0.750 0.750
0.500 0.500 0.500
0.000 0.000 0.000
0.747 0.253 0.253
0.253 0.747 0.747
0.747 0.253 0.747
0.253 0.747 0.253
0.747 0.747 0.253
0.253 0.253 0.747
```

Computed properties:
Its magnetic moment is 0.50 μB/atom. The calculation puts the total energy at -23.0137 eV per atom. Its symmetry is Fm-3m (225).